[1]
Ac2CeFeO6: relaxed, GGA+U.

```
Ac2CeFeO6
1.0
5.613 0.000 0.000
0.000 5.613 0.000
0.000 0.000 5.399
Ac Ce Fe O
2 1 1 6
Direct
0.000 0.500 0.000
0.500 0.000 0.000
0.000 0.000 0.563
0.500 0.500 0.558
0.000 0.000 0.152
0.252 0.252 0.721
0.252 0.748 0.721
0.500 0.500 0.192
0.748 0.252 0.721
0.748 0.748 0.721
```

Computed properties:
The calculation puts the raw total energy at -77.84 eV/f.u.


[2]
AcCeFe2O6: relaxed, GGA+U.

```
AcCeFe2O6
1.0
5.626 0.000 0.000
-2.719 4.960 0.000
-2.759 -1.703 4.668
Ac Ce Fe O
1 1 2 6
Direct
0.000 0.000 0.000
0.001 0.522 0.466
0.496 0.245 0.737
0.504 0.748 0.242
0.023 0.503 0.865
0.356 0.449 0.430
0.386 0.928 0.440
0.616 0.545 0.056
0.634 0.077 0.096
0.979 0.927 0.568
```

Computed properties:
The calculation puts the raw total energy at -75.81 eV/f.u.